Crystalline KInTe2 at its relaxed geometry. Source: the Alexandria database, functional PBE.

Output
* final energy: -3.128 eV per atom
* space-group type: No. 160
* formation energy (no corrections): -0.60 eV/atom
* DOS at the Fermi energy: 0.1 states/eV/cell

abc: 8.7285 8.7285 8.7285
angles: 29.19 29.19 29.19
Sites, in units of the cell vectors:
K: 0.0000 0.0000 0.0000
In: 0.1665 0.1665 0.1665
Te: 0.5659 0.5659 0.5659
Te: 0.7664 0.7664 0.7664